# 1
This record from Alexandria describes a relaxed structure of Mg2MoBr. The functional is GGA-PBE.

The value obtained for the total moment is 0.00 μB per cell. For the polymorph energy (0 for the lowest one), the calculation gives 0.054 eV per atom. The value obtained for the uncorrected formation energy is 8.7 kJ per mole of atoms.

It has space group P4/mmm (No. 123), with a = 3.0974 Å, b = 3.0974 Å, c = 8.3557 Å, α = 90.00°, β = 90.00° and γ = 90.00°. Symmetry generates all atoms from Mg at (0.0000, 0.0000, 0.2366), Mo at (0.5000, 0.5000, 0.0000) and Br at (0.5000, 0.5000, 0.5000).

# 2
This record from Alexandria describes a relaxed structure of MgMoBr4. The functional is GGA-PBE.

The value obtained for the total moment is 11.18 μB per cell. The value obtained for the uncorrected formation energy is 88.2 kJ per mole of atoms.

It has space group F-43m (No. 216), with a = 8.9392 Å, b = 8.9392 Å, c = 8.9392 Å, α = 90.00°, β = 90.00° and γ = 90.00°. Symmetry generates all atoms from Mg at (0.0000, 0.0000, 0.0000), Mo at (0.2500, 0.2500, 0.7500) and Br at (0.1254, 0.1254, 0.3746).

# 3
This record from Alexandria describes a relaxed structure of Mg2MoBr. The functional is GGA-PBE.

The value obtained for the total moment is 5.47 μB per cell. For the polymorph energy (0 for the lowest one), the calculation gives 0.552 eV per atom. The value obtained for the uncorrected formation energy is 56.8 kJ per mole of atoms.

It has space group I4/mmm (No. 139), with a = 4.1174 Å, b = 4.1174 Å, c = 9.5833 Å, α = 90.00°, β = 90.00° and γ = 90.00°. Symmetry generates all atoms from Mg at (0.0000, 0.5000, 0.2500), Mo at (0.0000, 0.0000, 0.0000) and Br at (0.0000, 0.0000, 0.5000).

# 4
This record from Alexandria describes a relaxed structure of MgMo3Br. The functional is GGA-PBE.

The value obtained for the total moment is 0.00 μB per cell. For the polymorph energy (0 for the lowest one), the calculation gives 0.000 eV per atom. The value obtained for the uncorrected formation energy is 132.7 kJ per mole of atoms.

It has space group Pm-3m (No. 221), with a = 4.6349 Å, b = 4.6349 Å, c = 4.6349 Å, α = 90.00°, β = 90.00° and γ = 90.00°. Symmetry generates all atoms from Mg at (0.0000, 0.0000, 0.0000), Mo at (0.0000, 0.5000, 0.5000) and Br at (0.5000, 0.5000, 0.5000).

# 5
This record from Alexandria describes a relaxed structure of Mg2MoBr. The functional is GGA-PBE.

The value obtained for the total moment is 0.00 μB per cell. For the polymorph energy (0 for the lowest one), the calculation gives 0.038 eV per atom. The value obtained for the uncorrected formation energy is 7.1 kJ per mole of atoms.

It has space group R-3m (No. 166, hexagonal axes), with a = 3.2432 Å, b = 3.2432 Å, c = 26.0870 Å, α = 90.00°, β = 90.00° and γ = 120.00°. Symmetry generates all atoms from Mg at (0.0000, 0.0000, 0.2491), Mo at (0.0000, 0.0000, 0.5000) and Br at (0.0000, 0.0000, 0.0000).

# 6
This record from Alexandria describes a relaxed structure of MgMo3Br. The functional is GGA-PBE.

The value obtained for the total moment is 2.53 μB per cell. For the polymorph energy (0 for the lowest one), the calculation gives 1.053 eV per atom. The value obtained for the uncorrected formation energy is 234.3 kJ per mole of atoms.

It has space group Pm-3m (No. 221), with a = 4.7256 Å, b = 4.7256 Å, c = 4.7256 Å, α = 90.00°, β = 90.00° and γ = 90.00°. Symmetry generates all atoms from Mg at (0.0000, 0.0000, 0.0000), Mo at (0.0000, 0.0000, 0.5000) and Br at (0.5000, 0.5000, 0.5000).